Record 1
A relaxed structure of Er2MgBe3Pt4, computed with PBE.

Cell lengths 3.997, 3.997, 10.197 Å; angles 90.00, 90.00, 90.00 degrees
Fractional positions:
Er 0.000 0.500 0.233
Er 0.500 0.000 0.767
Mg 0.000 0.000 0.500
Be 0.000 0.500 0.884
Be 0.500 0.000 0.116
Be 0.500 0.500 0.500
Pt 0.000 0.000 0.000
Pt 0.000 0.500 0.658
Pt 0.500 0.000 0.342
Pt 0.500 0.500 0.000

Properties
Calculated formation energy (eV per atom): -0.90
SG: P-4m2 (115)


Record 2
A relaxed structure of YErMgBe, computed with PBE.

Cell lengths 5.076, 5.076, 5.076 Å; angles 60.00, 60.00, 60.00 degrees
Fractional positions:
Y 0.000 0.000 0.000
Er 0.500 0.500 0.500
Mg 0.750 0.750 0.750
Be 0.250 0.250 0.250

Properties
Calculated formation energy (eV per atom): 0.08
SG: F-43m (216)


Record 3
A relaxed structure of ErMnBe4, computed with PBE.

Cell lengths 4.627, 4.627, 4.627 Å; angles 60.00, 60.00, 60.00 degrees
Fractional positions:
Er 0.000 0.000 0.000
Mn 0.750 0.750 0.750
Be 0.378 0.378 0.378
Be 0.378 0.378 0.865
Be 0.378 0.865 0.378
Be 0.865 0.378 0.378

Properties
Calculated formation energy (eV per atom): -0.03
SG: F-43m (216)


Record 4
A relaxed structure of ErBe17Mo, computed with PBE.

Cell lengths 5.636, 5.636, 5.636 Å; angles 82.99, 82.99, 82.99 degrees
Fractional positions:
Er 0.000 0.000 0.000
Be 0.047 0.343 0.626
Be 0.047 0.626 0.343
Be 0.184 0.679 0.679
Be 0.247 0.247 0.247
Be 0.341 0.341 0.839
Be 0.341 0.839 0.341
Be 0.343 0.047 0.626
Be 0.343 0.626 0.047
Be 0.441 0.441 0.441
Be 0.503 0.990 0.990
Be 0.626 0.047 0.343
Be 0.626 0.343 0.047
Be 0.679 0.184 0.679
Be 0.679 0.679 0.184
Be 0.839 0.341 0.341
Be 0.990 0.503 0.990
Be 0.990 0.990 0.503
Mo 0.676 0.676 0.676

Properties
Calculated formation energy (eV per atom): -0.13
SG: R3m (160)


Record 5
A relaxed structure of ErBeN2, computed with PBE.

Cell lengths 5.748, 5.748, 5.748 Å; angles 35.88, 35.88, 35.88 degrees
Fractional positions:
Er 0.000 0.000 0.000
Be 0.500 0.500 0.500
N 0.405 0.405 0.405
N 0.595 0.595 0.595

Properties
Raw formation energy (eV/atom): -0.751
SG: R-3m (166)


Record 6
A relaxed structure of ErBeRhN, computed with PBE.

Cell lengths 3.651, 3.651, 8.026 Å; angles 90.00, 90.00, 90.00 degrees
Fractional positions:
Er 0.250 0.250 0.154
Er 0.750 0.750 0.846
Be 0.250 0.250 0.676
Be 0.750 0.750 0.324
Rh 0.250 0.750 0.500
Rh 0.750 0.250 0.500
N 0.250 0.250 0.874
N 0.750 0.750 0.126

Properties
Raw formation energy (eV/atom): -1.041
SG: P4/nmm (129)


Record 7
A relaxed structure of ErTiBeN3, computed with PBE.

Cell lengths 6.471, 3.068, 6.650 Å; angles 90.00, 103.95, 90.00 degrees
Fractional positions:
Er 0.192 0.250 0.226
Er 0.808 0.750 0.774
Ti 0.336 0.750 0.842
Ti 0.664 0.250 0.158
Be 0.091 0.250 0.597
Be 0.909 0.750 0.403
N 0.122 0.250 0.858
N 0.183 0.750 0.518
N 0.440 0.750 0.161
N 0.560 0.250 0.839
N 0.817 0.250 0.482
N 0.878 0.750 0.142

Properties
Raw formation energy (eV/atom): -1.413
SG: P2_1/m (11)


Record 8
A relaxed structure of ErZr2BeN4, computed with PBE.

Cell lengths 5.594, 5.594, 10.845 Å; angles 90.00, 90.00, 146.68 degrees
Fractional positions:
Er 0.105 0.895 0.750
Er 0.895 0.105 0.250
Zr 0.370 0.630 0.552
Zr 0.370 0.630 0.948
Zr 0.630 0.370 0.052
Zr 0.630 0.370 0.448
Be 0.172 0.828 0.250
Be 0.828 0.172 0.750
N 0.000 0.000 0.000
N 0.000 0.000 0.500
N 0.271 0.729 0.126
N 0.271 0.729 0.374
N 0.428 0.572 0.750
N 0.572 0.428 0.250
N 0.729 0.271 0.626
N 0.729 0.271 0.874

Properties
Raw formation energy (eV/atom): -1.526
SG: Cmcm (63)


Record 9
A relaxed structure of NaErBeO3, computed with PBE.

Cell lengths 6.817, 3.275, 7.313 Å; angles 90.00, 101.20, 90.00 degrees
Fractional positions:
Na 0.162 0.250 0.175
Na 0.838 0.750 0.825
Er 0.349 0.750 0.828
Er 0.651 0.250 0.172
Be 0.063 0.250 0.601
Be 0.937 0.750 0.399
O 0.117 0.250 0.822
O 0.149 0.750 0.535
O 0.426 0.750 0.140
O 0.574 0.250 0.860
O 0.851 0.250 0.465
O 0.883 0.750 0.178

Properties
Raw formation energy (eV/atom): -2.682
SG: P2_1/m (11)


Record 10
A relaxed structure of ErBe4Nb, computed with PBE.

Cell lengths 4.786, 4.786, 4.786 Å; angles 60.00, 60.00, 60.00 degrees
Fractional positions:
Er 0.000 0.000 0.000
Be 0.135 0.622 0.622
Be 0.622 0.135 0.622
Be 0.622 0.622 0.135
Be 0.622 0.622 0.622
Nb 0.250 0.250 0.250

Properties
Calculated formation energy (eV per atom): 0.04
SG: F-43m (216)


Record 11
A relaxed structure of NdEr2Be, computed with PBE.

Cell lengths 11.015, 11.015, 11.015 Å; angles 18.04, 18.04, 18.04 degrees
Fractional positions:
Nd 0.000 0.000 0.000
Er 0.108 0.108 0.108
Er 0.892 0.892 0.892
Be 0.500 0.500 0.500

Properties
E above lowest polymorph (eV/atom): 0.278
Calculated formation energy (eV per atom): 0.34
SG: R-3m (166)


Record 12
A relaxed structure of NdEr2Be, computed with PBE.

Cell lengths 3.441, 3.441, 8.760 Å; angles 90.00, 90.00, 90.00 degrees
Fractional positions:
Nd 0.000 0.000 0.000
Er 0.500 0.500 0.313
Er 0.500 0.500 0.687
Be 0.000 0.000 0.500

Properties
E above lowest polymorph (eV/atom): 0.000
Calculated formation energy (eV per atom): 0.06
SG: P4/mmm (123)


Record 13
A relaxed structure of Er4BeNi3, computed with PBE.

Cell lengths 3.694, 4.133, 10.262 Å; angles 90.00, 90.00, 90.00 degrees
Fractional positions:
Er 0.000 0.000 0.000
Er 0.000 0.500 0.276
Er 0.500 0.000 0.494
Er 0.500 0.500 0.778
Be 0.000 0.000 0.697
Ni 0.000 0.500 0.580
Ni 0.500 0.000 0.212
Ni 0.500 0.500 0.065

Properties
Calculated formation energy (eV per atom): -0.37
SG: Pmm2 (25)


Record 14
A relaxed structure of ErBeNi2, computed with PBE.

Cell lengths 4.158, 4.158, 3.546 Å; angles 90.00, 90.00, 104.05 degrees
Fractional positions:
Er 0.000 0.000 0.000
Be 0.500 0.500 0.000
Ni 0.319 0.681 0.500
Ni 0.681 0.319 0.500

Properties
E above lowest polymorph (eV/atom): 0.355
Calculated formation energy (eV per atom): -0.05
SG: Cmmm (65)


Record 15
A relaxed structure of Er3BeNi3, computed with PBE.

Cell lengths 5.284, 5.284, 13.519 Å; angles 90.00, 90.00, 138.80 degrees
Fractional positions:
Er 0.004 0.996 0.750
Er 0.282 0.718 0.605
Er 0.282 0.718 0.895
Er 0.718 0.282 0.105
Er 0.718 0.282 0.395
Er 0.996 0.004 0.250
Be 0.000 0.000 0.000
Be 0.000 0.000 0.500
Ni 0.289 0.711 0.250
Ni 0.434 0.566 0.081
Ni 0.434 0.566 0.419
Ni 0.566 0.434 0.581
Ni 0.566 0.434 0.919
Ni 0.711 0.289 0.750

Properties
Calculated formation energy (eV per atom): -0.43
SG: Cmcm (63)


Record 16
A relaxed structure of ErBe3Ni2, computed with PBE.

Cell lengths 5.545, 5.545, 4.919 Å; angles 90.00, 90.00, 76.45 degrees
Fractional positions:
Er 0.173 0.827 0.750
Er 0.827 0.173 0.250
Be 0.037 0.594 0.250
Be 0.406 0.963 0.250
Be 0.427 0.573 0.250
Be 0.573 0.427 0.750
Be 0.594 0.037 0.750
Be 0.963 0.406 0.750
Ni 0.296 0.296 0.000
Ni 0.296 0.296 0.500
Ni 0.704 0.704 0.000
Ni 0.704 0.704 0.500

Properties
Calculated formation energy (eV per atom): -0.36
SG: Cmcm (63)


Record 17
A relaxed structure of ErBe2Ni3, computed with PBE.

Cell lengths 4.992, 4.992, 3.404 Å; angles 90.00, 90.00, 120.00 degrees
Fractional positions:
Er 0.000 0.000 0.000
Be 0.333 0.667 0.000
Be 0.667 0.333 0.000
Ni 0.000 0.500 0.500
Ni 0.500 0.000 0.500
Ni 0.500 0.500 0.500

Properties
Calculated formation energy (eV per atom): -0.50
SG: P6/mmm (191)


Record 18
A relaxed structure of ErBe12Ni6, computed with PBE.

Cell lengths 6.017, 6.017, 6.017 Å; angles 102.67, 102.67, 102.67 degrees
Fractional positions:
Er 0.000 0.000 0.000
Be 0.112 0.500 0.888
Be 0.112 0.888 0.500
Be 0.123 0.413 0.413
Be 0.413 0.123 0.413
Be 0.413 0.413 0.123
Be 0.500 0.112 0.888
Be 0.500 0.888 0.112
Be 0.587 0.587 0.877
Be 0.587 0.877 0.587
Be 0.877 0.587 0.587
Be 0.888 0.112 0.500
Be 0.888 0.500 0.112
Ni 0.267 0.267 0.694
Ni 0.267 0.694 0.267
Ni 0.306 0.733 0.733
Ni 0.694 0.267 0.267
Ni 0.733 0.306 0.733
Ni 0.733 0.733 0.306

Properties
Calculated formation energy (eV per atom): -0.10
SG: R-3m (166)


Record 19
A relaxed structure of Er2Be4Ni5, computed with PBE.

Cell lengths 7.767, 6.962, 4.984 Å; angles 79.22, 61.71, 39.08 degrees
Fractional positions:
Er 0.134 0.134 0.866
Er 0.866 0.866 0.134
Be 0.214 0.528 0.472
Be 0.472 0.786 0.214
Be 0.528 0.214 0.786
Be 0.786 0.472 0.528
Ni 0.000 0.000 0.500
Ni 0.250 0.250 0.250
Ni 0.500 0.500 0.000
Ni 0.500 0.500 0.500
Ni 0.750 0.750 0.750

Properties
Calculated formation energy (eV per atom): -0.41
SG: Fmmm (69)


Record 20
A relaxed structure of ErBe2Ni6, computed with PBE.

Cell lengths 7.027, 7.027, 7.027 Å; angles 60.00, 60.00, 60.00 degrees
Fractional positions:
Er 0.125 0.125 0.125
Er 0.875 0.875 0.875
Be 0.000 0.500 0.500
Be 0.500 0.000 0.500
Be 0.500 0.500 0.000
Be 0.500 0.500 0.500
Ni 0.139 0.139 0.611
Ni 0.139 0.611 0.139
Ni 0.139 0.611 0.611
Ni 0.389 0.389 0.861
Ni 0.389 0.861 0.389
Ni 0.389 0.861 0.861
Ni 0.611 0.139 0.139
Ni 0.611 0.139 0.611
Ni 0.611 0.611 0.139
Ni 0.861 0.389 0.389
Ni 0.861 0.389 0.861
Ni 0.861 0.861 0.389

Properties
Calculated formation energy (eV per atom): 0.18
SG: Fd-3m (227)